Record 1
A geometry-optimized PIrW2 structure, computed with GGA-PBE.

Values from the calculation:
Fermi-level density of states, states/eV/f.u.: 3.98
Formation enthalpy at 0 K, meV per atom: 283
Electronic total energy, eV/atom: -9.761
Total magnetic moment, μB/atom: 0.00

Cell and atoms, written as POSCAR:
```
PIrW2
1.0
-1.9101 1.9101 4.0782
1.9101 -1.9101 4.0782
1.9101 1.9101 -4.0782
P Ir W
1 1 2
Direct
0.0000 0.0000 0.0000 P
0.7500 0.2500 0.5000 Ir
0.2500 0.7500 0.5000 W
0.5000 0.5000 0.0000 W
```

Record 2
A geometry-optimized Dy2Y2Sc7 structure, computed with GGA-PBE.

Values from the calculation:
Fermi-level density of states, states/eV/f.u.: 17.40
Formation enthalpy at 0 K, meV per atom: 168
Electronic total energy, eV/atom: -5.873
Total magnetic moment, μB/atom: 0.00

Cell and atoms, written as POSCAR:
```
Dy2Y2Sc7
1.0
3.1041 -5.4489 0.0000
3.1041 5.4489 0.0000
-1.6689 0.0000 8.9080
Dy Y Sc
2 2 7
Direct
0.0340 0.0340 0.2062 Dy
0.9660 0.9660 0.7938 Dy
0.1967 0.8033 0.5000 Y
0.8033 0.1967 0.5000 Y
0.1088 0.5558 0.1629 Sc
0.4039 0.4039 0.6386 Sc
0.4442 0.8912 0.8371 Sc
0.5000 0.5000 0.0000 Sc
0.5558 0.1088 0.1629 Sc
0.5961 0.5961 0.3614 Sc
0.8912 0.4442 0.8371 Sc
```

Record 3
A geometry-optimized BaNa2TlO4 structure, computed with GGA-PBE.

Values from the calculation:
Fermi-level density of states, states/eV/f.u.: 0.65
Electronic total energy, eV/atom: -4.623
Total magnetic moment, μB/atom: 0.13
Formation energy from raw total energies, eV/atom: -1.278

Cell and atoms, written as POSCAR:
```
BaNa2TlO4
1.0
4.9499 -5.1797 0.0000
4.9499 5.1797 0.0000
-4.6525 0.0000 5.1988
Ba Na Tl O
2 4 2 8
Direct
0.0000 0.5000 0.0000 Ba
0.5000 0.0000 0.5000 Ba
0.0000 0.0000 0.0000 Na
0.0000 0.0000 0.5000 Na
0.0000 0.5000 0.5000 Na
0.5000 0.0000 0.0000 Na
0.5000 0.5000 0.0000 Tl
0.5000 0.5000 0.5000 Tl
0.2339 0.7436 0.9825 O
0.2564 0.7661 0.5175 O
0.2787 0.2961 0.5076 O
0.2961 0.2787 0.0076 O
0.7039 0.7213 0.9924 O
0.7213 0.7039 0.4924 O
0.7436 0.2339 0.4825 O
0.7661 0.2564 0.0175 O
```

Record 4
A geometry-optimized Zr3Pt structure, computed with GGA-PBE.

Values from the calculation:
Fermi-level density of states, states/eV/f.u.: 5.12
Formation enthalpy at 0 K, meV per atom: -293
Electronic total energy, eV/atom: -8.214
Total magnetic moment, μB/atom: 0.00

Cell and atoms, written as POSCAR:
```
Zr3Pt
1.0
1.6273 0.9395 9.3666
-1.6273 0.9395 9.3666
0.0000 -1.8791 9.3666
Zr Pt
3 1
Direct
0.0000 0.0000 0.0000 Zr
0.2425 0.2425 0.2425 Zr
0.7575 0.7575 0.7575 Zr
0.5000 0.5000 0.5000 Pt
```

Record 5
A geometry-optimized LiZnRe2 structure, computed with GGA-PBE.

Values from the calculation:
Fermi-level density of states, states/eV/f.u.: 2.17
Formation enthalpy at 0 K, meV per atom: 177
Electronic total energy, eV/atom: -6.844
Total magnetic moment, μB/atom: 0.00

Cell and atoms, written as POSCAR:
```
LiZnRe2
1.0
1.4727 -2.2240 0.0000
1.4727 2.2240 0.0000
0.0000 0.0000 9.1526
Li Zn Re
1 1 2
Direct
0.0000 0.0000 0.0000 Li
0.5000 0.5000 0.7511 Zn
0.0000 0.0000 0.4919 Re
0.5000 0.5000 0.2529 Re
```

Record 6
A geometry-optimized Tb4SiTe2Pb structure, computed with GGA-PBE.

Values from the calculation:
Fermi-level density of states, states/eV/f.u.: 1.70
Electronic total energy, eV/atom: -5.257
Total magnetic moment, μB/atom: 0.00
Formation energy from raw total energies, eV/atom: -1.015

Cell and atoms, written as POSCAR:
```
Tb4SiTe2Pb
1.0
7.5697 0.0000 0.0000
0.0000 4.3089 0.0000
-2.4717 0.0000 7.1792
Tb Si Te Pb
4 1 2 1
Direct
0.2296 0.0000 0.2244 Tb
0.2416 0.5000 0.7659 Tb
0.7584 0.5000 0.2341 Tb
0.7704 0.0000 0.7756 Tb
0.0000 0.5000 0.0000 Si
0.0000 0.0000 0.5000 Te
0.5000 0.5000 0.5000 Te
0.5000 0.0000 0.0000 Pb
```